A plane-wave DFT calculation with PBE was carried out for a geometry-optimized Sr3NdDy3Se8 structure.

## Properties
Total magnetic moment   0.000 μB per atom
Space-group type   No. 166
E_tot   -0.3935 Ry/atom

Cell and atoms, written as POSCAR:
```
Sr3NdDy3Se8
1.0
4.1804 2.4135 7.1298
-4.1804 2.4135 7.1298
0.0000 -4.8271 7.1298
Sr Nd Dy Se
3 1 3 8
Direct
0.0000 0.5000 0.5000 Sr
0.5000 0.0000 0.5000 Sr
0.5000 0.5000 0.0000 Sr
0.5000 0.5000 0.5000 Nd
0.0000 0.0000 0.5000 Dy
0.0000 0.5000 0.0000 Dy
0.5000 0.0000 0.0000 Dy
0.2345 0.7491 0.7491 Se
0.2433 0.2433 0.2433 Se
0.2509 0.2509 0.7655 Se
0.2509 0.7655 0.2509 Se
0.7491 0.2345 0.7491 Se
0.7491 0.7491 0.2345 Se
0.7567 0.7567 0.7567 Se
0.7655 0.2509 0.2509 Se
```